Compound: UTiN
Source: the Alexandria database
Functional: GGA-PBE
Structure: optimized geometry

Structure (POSCAR):
```
UTiN
1.0
3.092 0.000 0.000
-1.546 2.621 0.000
0.000 0.000 10.786
U Ti N
2 2 2
Direct
0.581 0.162 0.000
0.417 0.834 0.500
0.085 0.169 0.247
0.085 0.169 0.753
0.750 0.500 0.344
0.750 0.500 0.656
```

Properties
Energy relative to the elements, uncorrected: -0.9295 eV per atom
Symmetry: No. 38
Density of states at the Fermi level: 1.402 states/eV/atom
Spin magnetization: 0.372 μB/atom
Theoretical density: 11393 kg/m3